Entry from Alexandria via LeMat-Bulk: ZnMo2IrO at its PBEsol-relaxed geometry (meta-GGA SCAN).

For the formation energy from raw total energies, the calculation gives 0.0759 eV/atom. The electronic total energy comes out at -160.24 eV for the cell shown. As for the crystal system: tetragonal. The value obtained for the calculated volume is 67 Å³/f.u.

a b c (Å): 3.9741 3.9741 4.2503
angles (deg): 90.00 90.00 90.00
Fractional coordinates of all 5 atoms:
Mo 0.0000 0.5000 0.0000
Mo 0.5000 0.0000 0.0000
Ir 0.0000 0.0000 0.5000
Zn 0.5000 0.5000 0.5000
O 0.0000 0.0000 0.0000